Entry from Alexandria via LeMat-Bulk: MgSi2Rh after structural relaxation (GGA-PBEsol).

Calculated values
The formation energy without anion corrections is -0.104 eV per atom. The theoretical density comes out at 4.93 Mg/m³. For the spin magnetization, the calculation gives 0.00 μB/f.u. As for the energy: -5.44 eV/atom.

Structure (POSCAR):
```
MgSi2Rh
1.0
3.7582 0.0000 0.0000
0.0000 3.7582 0.0000
0.0000 0.0000 17.4864
Mg Si Rh
4 8 4
direct
0.0000 0.0000 0.0000
0.0000 0.5000 0.2500
0.5000 0.0000 0.7500
0.5000 0.5000 0.5000
0.2337 0.2500 0.6250
0.2500 0.7337 0.8750
0.2500 0.7663 0.3750
0.2663 0.2500 0.1250
0.7337 0.7500 0.1250
0.7500 0.2337 0.3750
0.7500 0.2663 0.8750
0.7663 0.7500 0.6250
0.0000 0.0000 0.5000
0.0000 0.5000 0.7500
0.5000 0.0000 0.2500
0.5000 0.5000 0.0000
```



Entry from Alexandria via LeMat-Bulk: TlCu2Ag after structural relaxation (GGA-PBEsol).

Calculated values
The theoretical density comes out at 11.64 Mg/m³. For the formation energy, the calculation gives 0.20 eV per atom. For the spin magnetization, the calculation gives 0.00 μB/f.u. As for the energy: -3.45 eV/atom.

Structure (POSCAR):
```
TlCu2Ag
1.0
9.5720 0.0000 0.0000
0.0000 3.0630 0.0000
-1.5177 0.0000 4.2765
Tl Cu Ag
2 4 2
direct
0.0000 0.0000 0.0000
0.5000 0.5000 0.0000
0.2574 0.5000 0.1966
0.4642 0.0000 0.4792
0.7574 0.0000 0.1966
0.9642 0.5000 0.4792
0.2168 0.0000 0.6601
0.7168 0.5000 0.6601
```



Entry from Alexandria via LeMat-Bulk: ZrScCd2 after structural relaxation (GGA-PBEsol).

Calculated values
The theoretical density comes out at 7.24 Mg/m³. For the formation energy, the calculation gives -0.21 eV per atom. For the spin magnetization, the calculation gives 0.00 μB/f.u. As for the energy: -4.73 eV/atom.

Structure (POSCAR):
```
ZrScCd2
1.0
6.3315 0.0000 0.0000
0.0000 8.4946 0.0000
0.0000 0.0000 3.0778
Zr Sc Cd
2 2 4
direct
0.0000 0.0000 0.0000
0.5000 0.5000 0.0000
0.0000 0.5000 0.0000
0.5000 0.0000 0.0000
0.2500 0.2500 0.5000
0.2500 0.7500 0.5000
0.7500 0.2500 0.5000
0.7500 0.7500 0.5000
```



Entry from Alexandria via LeMat-Bulk: MgSeBr3 after structural relaxation (GGA-PBEsol).

Calculated values
The formation energy without anion corrections is -0.332 eV per atom. The theoretical density comes out at 4.05 Mg/m³. For the spin magnetization, the calculation gives 3.03 μB/f.u. As for the energy: -2.57 eV/atom.

Structure (POSCAR):
```
MgSeBr3
1.0
5.2003 0.0000 0.0000
0.0000 5.2003 0.0000
0.0000 0.0000 5.2003
Mg Se Br
1 1 3
direct
0.0000 0.0000 0.0000
0.5000 0.5000 0.5000
0.0000 0.0000 0.5000
0.0000 0.5000 0.0000
0.5000 0.0000 0.0000
```



Entry from Alexandria via LeMat-Bulk: Ta3Mn8Al after structural relaxation (GGA-PBEsol).

Calculated values
The theoretical density comes out at 11.26 Mg/m³. For the formation energy, the calculation gives -0.24 eV per atom. For the spin magnetization, the calculation gives 0.70 μB/f.u. As for the energy: -10.23 eV/atom.

Structure (POSCAR):
```
Ta3Mn8Al
1.0
4.7031 0.0000 0.0000
-2.3515 4.0730 0.0000
0.0000 0.0000 7.7684
Ta Mn Al
3 8 1
direct
0.0000 0.0000 0.0000
0.0000 0.0000 0.3770
0.3333 0.6667 0.8604
0.0135 0.5068 0.1870
0.3243 0.1621 0.6841
0.4932 0.5068 0.1870
0.4932 0.9865 0.1870
0.6667 0.3333 0.4378
0.6667 0.3333 0.9436
0.8379 0.1621 0.6841
0.8379 0.6757 0.6841
0.3333 0.6667 0.4971
```



Entry from Alexandria via LeMat-Bulk: GeF4 after structural relaxation (GGA-PBEsol).

Calculated values
The formation energy without anion corrections is -2.347 eV per atom. The theoretical density comes out at 3.12 Mg/m³. For the spin magnetization, the calculation gives 0.00 μB/f.u. As for the energy: -4.88 eV/atom.

Structure (POSCAR):
```
GeF4
1.0
5.4114 0.0000 0.0000
0.0000 5.4114 0.0000
0.0000 0.0000 5.4114
Ge F
2 8
direct
0.0000 0.0000 0.0000
0.5000 0.5000 0.5000
0.1817 0.1817 0.1817
0.1817 0.8183 0.8183
0.3183 0.3183 0.6817
0.3183 0.6817 0.3183
0.6817 0.3183 0.3183
0.6817 0.6817 0.6817
0.8183 0.1817 0.8183
0.8183 0.8183 0.1817
```



Entry from Alexandria via LeMat-Bulk: Li5Pb after structural relaxation (GGA-PBEsol).

Calculated values
The theoretical density comes out at 3.64 Mg/m³. For the formation energy, the calculation gives -0.24 eV per atom. For the spin magnetization, the calculation gives 0.00 μB/f.u. As for the energy: -2.54 eV/atom.

Structure (POSCAR):
```
Li5Pb
1.0
4.8299 0.0000 0.0000
0.0000 9.4332 0.0000
0.0000 0.0000 4.8456
Li Pb
10 2
direct
0.0000 0.0000 0.0000
0.0000 0.1713 0.5000
0.0000 0.3457 0.0000
0.0000 0.6543 0.0000
0.0000 0.8287 0.5000
0.5000 0.1543 0.0000
0.5000 0.3287 0.5000
0.5000 0.5000 0.0000
0.5000 0.6713 0.5000
0.5000 0.8457 0.0000
0.0000 0.5000 0.5000
0.5000 0.0000 0.5000
```



Entry from Alexandria via LeMat-Bulk: Sb2PdCI after structural relaxation (GGA-PBEsol).

Calculated values
The formation energy without anion corrections is 1.085 eV per atom. The theoretical density comes out at 7.84 Mg/m³. For the spin magnetization, the calculation gives 0.00 μB/f.u. As for the energy: -4.21 eV/atom.

Structure (POSCAR):
```
Sb2PdCI
1.0
4.6784 0.0000 0.0000
0.0000 4.6784 0.0000
0.0000 0.0000 4.7332
Sb Pd C I
2 1 1 1
direct
0.0000 0.5000 0.0000
0.5000 0.0000 0.0000
0.0000 0.0000 0.5000
0.5000 0.5000 0.0000
0.5000 0.5000 0.5000
```



no.,V (Å³ per atom)
1,15.44
2,15.67
3,20.69
4,28.13
5,12.40
6,15.85
7,18.40
8,20.72